The following is a DFT calculation (PBE-GGA) of an optimized crystal structure of K4Br3.

It has space group R-3m (No. 166, hexagonal axes), with a = 4.7052 Å, b = 4.7052 Å, c = 47.2565 Å, α = 90.00°, β = 90.00° and γ = 120.00°. The distinct sites, in fractional coordinates, are K at (0.0000, 0.0000, 0.1244), K at (0.0000, 0.0000, 0.3746), Br at (0.0000, 0.0000, 0.0000) and Br at (0.0000, 0.0000, 0.2507).

The density of states at the Fermi level comes out at 1.26 states/eV/f.u. Its crystal system is trigonal. As for the calculated volume: 43.14 Å³/atom. The value obtained for the calculated total energy is -0.10360 hartree per atom. The magnetization comes out at 0.00 Bohr magnetons per cell. The value obtained for the uncorrected formation energy is -10.3 eV/f.u.